Entry 1:
DFT (SCAN) results for a crystal of CuSnSb2Te relaxed with PBEsol.

```
5
Lattice="5.535 0.000 0.000 0.000 5.535 0.000 0.000 0.000 5.599" Properties=species:S:1:pos:R:3 pbc="T T T"
Sb 0.000 2.768 0.000
Sb 2.768 0.000 0.000
Te 0.000 0.000 2.799
Sn 0.000 0.000 0.000
Cu 2.768 2.768 2.799
```

Summary:
Energy relative to the elements, uncorrected, eV per atom: 1.203
Space-group type: P4/mmm
Calculated volume, Å³ per cell: 171.54
ρ, g cm⁻³: 5.36
Magnetization, Bohr magnetons per cell: 0.00


Entry 2:
DFT (SCAN) results for a crystal of AlZnAu2 relaxed with PBEsol.

```
4
Lattice="3.466 0.000 0.000 0.000 3.466 0.000 0.000 0.000 5.323" Properties=species:S:1:pos:R:3 pbc="T T T"
Zn 0.000 0.000 2.539
Au 0.000 0.000 5.145
Au 1.733 1.733 1.516
Al 1.733 1.733 4.107
```

Summary:
Space-group type: P4mm
Calculated volume, Å³ per cell: 63.95
ρ, g cm⁻³: 12.63
Magnetization, Bohr magnetons per cell: 0.00
DFT formation energy, eV/atom: -0.444


Entry 3:
DFT (SCAN) results for a crystal of BaGaIrAu2 relaxed with PBEsol.

```
5
Lattice="4.791 0.000 0.000 0.000 4.900 0.000 0.000 0.000 4.900" Properties=species:S:1:pos:R:3 pbc="T T T"
Ir 2.396 0.000 0.000
Au 0.000 0.000 2.450
Au 0.000 2.450 0.000
Ba 2.396 2.450 2.450
Ga 0.000 0.000 0.000
```

Summary:
Space-group type: P4/mmm
Calculated volume, Å³ per cell: 115.03
ρ, g cm⁻³: 11.45
Magnetization, Bohr magnetons per cell: 0.73
DFT formation energy, eV/atom: -0.097


Entry 4:
DFT (SCAN) results for a crystal of ScAl2Os relaxed with PBEsol.

```
4
Lattice="-0.471 -0.769 3.014 3.401 -3.070 -0.252 1.426 5.020 -0.138" Properties=species:S:1:pos:R:3 pbc="T T T"
Sc 1.700 -1.535 -0.126
Os -0.235 -0.384 1.507
Al 3.025 -0.247 2.051
Al 1.331 1.428 0.572
```

Summary:
Space-group type: Immm
Calculated volume, Å³ per cell: 63.76
ρ, g cm⁻³: 7.53
Magnetization, Bohr magnetons per cell: 0.00
DFT formation energy, eV/atom: -0.445


Entry 5:
DFT (SCAN) results for a crystal of MgSn2Pb2 relaxed with PBEsol.

```
10
Lattice="4.895 0.000 0.000 0.000 7.607 0.000 0.000 0.000 7.607" Properties=species:S:1:pos:R:3 pbc="T T T"
Pb 2.448 1.354 5.157
Pb 2.448 5.157 6.254
Pb 2.448 6.254 2.450
Pb 2.448 2.450 1.354
Mg 0.000 0.000 0.000
Mg 0.000 3.804 3.804
Sn 0.000 2.785 6.589
Sn 0.000 6.589 4.822
Sn 0.000 4.822 1.018
Sn 0.000 1.018 2.785
```

Summary:
Energy above the lowest structure with this stoichiometry, meV per atom: 0.0
Space-group type: P4/mbm
Calculated volume, Å³ per cell: 283.28
ρ, g cm⁻³: 7.93
Magnetization, Bohr magnetons per cell: 0.00
DFT formation energy, eV/atom: 0.050


Entry 6:
DFT (SCAN) results for a crystal of K2CeAgCl6 relaxed with PBEsol.

```
10
Lattice="-4.919 -5.642 -0.933 1.714 -5.789 -4.522 1.445 -6.790 2.949" Properties=species:S:1:pos:R:3 pbc="T T T"
K -1.319 -13.665 -1.880
K -0.440 -4.555 -0.627
Ce -0.880 -9.110 -1.253
Ag 0.000 0.000 0.000
Cl -2.920 -7.358 -1.092
Cl -2.054 -10.283 -3.376
Cl 1.161 -10.863 -1.415
Cl -2.190 -10.789 0.399
Cl 0.431 -7.432 -2.905
Cl 0.295 -7.938 0.870
```

Summary:
Energy relative to the elements, uncorrected, eV per atom: -1.948
Space-group type: Fm-3m
Calculated volume, Å³ per cell: 303.45
ρ, g cm⁻³: 2.95
Magnetization, Bohr magnetons per cell: 1.00


Entry 7:
DFT (SCAN) results for a crystal of SrCaP relaxed with PBEsol.

```
3
Lattice="4.271 0.000 0.000 -2.136 3.699 0.000 0.000 0.000 7.097" Properties=species:S:1:pos:R:3 pbc="T T T"
Sr 0.000 2.466 3.179
Ca 0.000 0.000 6.192
P 2.136 1.233 4.822
```

Summary:
Space-group type: P3m1
Calculated volume, Å³ per cell: 112.11
ρ, g cm⁻³: 2.35
Magnetization, Bohr magnetons per cell: 0.15
DFT formation energy, eV/atom: -0.974


Entry 8:
DFT (SCAN) results for a crystal of YSbP2 relaxed with PBEsol.

```
4
Lattice="-4.263 2.379 -0.487 -3.277 -1.495 -3.331 -4.176 -2.127 1.450" Properties=species:S:1:pos:R:3 pbc="T T T"
P 0.000 0.000 0.000
P -2.929 -0.311 -0.592
Sb -5.858 -0.622 -1.184
Y -8.787 -0.933 -1.776
```

Summary:
Energy relative to the elements, uncorrected, eV per atom: 0.110
Space-group type: F-43m
Calculated volume, Å³ per cell: 83.50
ρ, g cm⁻³: 5.42
Magnetization, Bohr magnetons per cell: 0.00


Entry 9:
DFT (SCAN) results for a crystal of LiSnS2 relaxed with PBEsol.

```
4
Lattice="-2.499 -2.573 1.105 -1.508 -2.350 -2.508 3.250 -5.662 0.541" Properties=species:S:1:pos:R:3 pbc="T T T"
S -0.618 -7.895 -0.657
S -0.140 -2.689 -0.205
Sn 0.000 0.000 0.000
Li -0.379 -5.292 -0.431
```

Summary:
Energy relative to the elements, uncorrected, eV per atom: -0.772
Space-group type: R-3m
Calculated volume, Å³ per cell: 75.41
ρ, g cm⁻³: 4.18
Magnetization, Bohr magnetons per cell: 0.00


Entry 10:
DFT (SCAN) results for a crystal of CaGa2As2 relaxed with PBEsol.

```
5
Lattice="3.971 0.000 0.000 1.986 3.439 0.000 1.986 1.146 8.268" Properties=species:S:1:pos:R:3 pbc="T T T"
As 5.957 3.439 6.372
As 1.986 1.146 1.896
Ca 0.000 0.000 0.000
Ga 3.971 2.293 2.921
Ga 3.971 2.293 5.348
```

Summary:
Space-group type: R-3m
Calculated volume, Å³ per cell: 112.94
ρ, g cm⁻³: 4.84
Magnetization, Bohr magnetons per cell: 0.00
DFT formation energy, eV/atom: -0.711


Entry 11:
DFT (SCAN) results for a crystal of GaAgHgRh2 relaxed with PBEsol.

```
5
Lattice="4.810 0.000 0.000 0.000 4.810 0.000 0.000 0.000 4.901" Properties=species:S:1:pos:R:3 pbc="T T T"
Ga 2.405 2.405 2.450
Rh 0.000 2.405 0.000
Rh 2.405 0.000 0.000
Hg 0.000 0.000 2.450
Ag 0.000 0.000 0.000
```

Summary:
Space-group type: P4/mmm
Calculated volume, Å³ per cell: 113.40
ρ, g cm⁻³: 8.55
Magnetization, Bohr magnetons per cell: 0.00
DFT formation energy, eV/atom: 1.393


Entry 12:
DFT (SCAN) results for a crystal of La2ReBr relaxed with PBEsol.

```
4
Lattice="3.454 0.000 0.000 1.727 2.991 0.000 1.727 0.997 9.749" Properties=species:S:1:pos:R:3 pbc="T T T"
Re 3.454 1.994 5.036
Br 1.727 0.997 2.431
La 5.181 2.991 0.187
La 5.181 2.991 6.969
```

Summary:
Energy above the lowest structure with this stoichiometry, meV per atom: 805.6
Energy relative to the elements, uncorrected, eV per atom: 0.369
Space-group type: R3m
Calculated volume, Å³ per cell: 100.74
ρ, g cm⁻³: 8.97
Magnetization, Bohr magnetons per cell: 0.00


Number 1: electronic total energy -31.38 eV per atom. Number 2: electronic total energy -40.34 eV per atom. Number 3: electronic total energy -53.16 eV per atom. Number 4: electronic total energy -25.85 eV per atom. Number 5: electronic total energy -45.63 eV per atom. Number 6: electronic total energy -15.99 eV per atom. Number 7: electronic total energy -15.09 eV per atom. Number 8: electronic total energy -21.37 eV per atom. Number 9: electronic total energy -15.16 eV per atom. Number 10: electronic total energy -17.26 eV per atom. Number 11: electronic total energy -35.29 eV per atom. Number 12: electronic total energy -43.82 eV per atom.